1.
This record from the Alexandria database describes an optimized crystal structure of Nd4Y5Sc2. The functional is GGA-PBE.

Results
- DFT total energy: -5.75 eV per atom
- E_form: 0.07 eV per atom

Cell lengths 18.5579, 5.4400, 7.0183 Å; angles 90.00, 95.86, 90.00 degrees
Closest atoms and distances in Å follow each position.
Space group C2/m (No. 12)
One atom of each set of equivalent atoms:
1 Nd 0.0597 0.0000 0.1988 x4  2 Sc 3.31, 3 Nd 3.38-3.67, 5 Y 3.58-3.68
2 Nd 0.1817 0.5000 0.3754 x4  1 Sc 3.47, 7 Y 3.51-3.72, 2 Nd 3.67
3 Y 0.0000 0.5000 0.5000 x2  2 Sc 3.25, 2 Nd 3.57
4 Y 0.1286 0.0000 0.6948 x4  2 Sc 3.41, 5 Nd 3.58-3.72, 5 Y 3.63-3.78
5 Y 0.2502 0.0000 0.1345 x4  5 Y 3.31-3.65, 1 Sc 3.31, 4 Nd 3.51-3.61
6 Sc 0.0761 0.5000 0.9378 x4  1 Sc 3.04, 4 Y 3.25-3.41, 2 Nd 3.31

=====

2.
This record from the Alexandria database describes an optimized crystal structure of Nd3YSc2. The functional is GGA-PBE.

Results
- DFT total energy: -5.45 eV per atom
- E_form: 0.12 eV per atom

Cell lengths 9.5002, 3.4841, 11.3907 Å; angles 90.00, 95.02, 90.00 degrees
Closest atoms and distances in Å follow each position.
Space group P2_1/m (No. 11)
One atom of each set of equivalent atoms:
1 Nd 0.0713 0.2500 0.1226 x2  2 Sc 3.39-3.40, 2 Y 3.46, 7 Nd 3.47-3.59
2 Nd 0.2579 0.2500 0.8653 x2  6 Nd 3.33-3.59, 5 Sc 3.45-3.62
3 Nd 0.3986 0.2500 0.6077 x2  5 Nd 3.33-3.69, 3 Y 3.45-3.57, 4 Sc 3.52-3.55
4 Y 0.2372 0.7500 0.3579 x2  5 Sc 3.44-3.59, 5 Nd 3.45-3.57, 2 Y 3.48
5 Sc 0.0776 0.7500 0.6176 x2  5 Nd 3.39-3.62, 4 Sc 3.42-3.48, 3 Y 3.44-3.49
6 Sc 0.4310 0.2500 0.1479 x2  6 Nd 3.40-3.55, 2 Sc 3.48, 2 Y 3.59

=====

3.
This record from the Alexandria database describes an optimized crystal structure of Nd15YSc4. The functional is GGA-PBE.

Results
- DFT total energy: -5.14 eV per atom
- E_form: 0.03 eV per atom

Cell lengths 5.0785, 5.0785, 25.3232 Å; angles 90.00, 90.00, 90.00 degrees
Closest atoms and distances in Å follow each position.
Space group P4/mmm (No. 123)
One atom of each set of equivalent atoms:
1 Nd 0.0000 0.0000 0.0000 x1  4 Y 3.59, 8 Nd 3.65
2 Nd 0.0000 0.0000 0.2027 x2  8 Nd 3.57, 4 Sc 3.59
3 Nd 0.0000 0.0000 0.4008 x2  8 Nd 3.57, 4 Sc 3.59
4 Nd 0.0000 0.5000 0.1035 x4  2 Sc 3.57, 8 Nd 3.57-3.65, 2 Y 3.65
5 Nd 0.0000 0.5000 0.3017 x4  8 Nd 3.57-3.59, 4 Sc 3.57
6 Nd 0.0000 0.5000 0.5000 x2  8 Nd 3.57-3.59, 4 Sc 3.57
7 Y 0.5000 0.5000 0.0000 x1  12 Nd 3.59-3.65
8 Sc 0.5000 0.5000 0.2025 x2  12 Nd 3.57-3.59
9 Sc 0.5000 0.5000 0.4008 x2  12 Nd 3.57-3.59

=====

4.
This record from the Alexandria database describes an optimized crystal structure of Nd3Y7Sc. The functional is GGA-PBE.

Results
- DFT total energy: -5.81 eV per atom
- E_form: 0.18 eV per atom

Cell lengths 7.0832, 7.0832, 8.6442 Å; angles 90.00, 90.00, 120.00 degrees
Closest atoms and distances in Å follow each position.
Space group P3m1 (No. 156)
One atom of each set of equivalent atoms:
1 Nd 0.0023 0.5011 0.0000 x3  4 Nd 3.52-3.57, 5 Y 3.53-3.59, 1 Sc 3.54
2 Y 0.1684 0.3369 0.3430 x3  1 Sc 3.43, 8 Y 3.48-3.58, 2 Nd 3.59
3 Y 0.3350 0.1675 0.6671 x3  7 Y 3.48-3.56, 2 Nd 3.53, 2 Sc 3.54
4 Y 0.6667 0.3333 0.3397 x1  9 Y 3.49-3.54, 3 Nd 3.59
5 Sc 0.3333 0.6667 0.6640 x1  9 Y 3.43-3.54, 3 Nd 3.54

=====

5.
This record from the Alexandria database describes an optimized crystal structure of Nd7Y12Sc. The functional is GGA-PBE.

Results
- DFT total energy: -5.61 eV per atom
- E_form: 0.25 eV per atom

Cell lengths 12.7413, 12.7413, 14.3429 Å; angles 90.00, 90.00, 120.00 degrees
Closest atoms and distances in Å follow each position.
Space group R-3 (No. 148, hexagonal axes)
One atom of each set of equivalent atoms:
1 Nd 0.0000 0.0000 0.0000 x3  6 Y 3.02
2 Nd 0.0581 0.8690 0.3232 x18  1 Sc 3.32, 3 Nd 3.33-3.70, 5 Y 3.38-3.70
3 Y 0.0182 0.5842 0.2223 x18  4 Y 3.47-3.51, 5 Nd 3.50-3.81, 1 Sc 3.69
4 Y 0.0648 0.2264 0.8904 x18  2 Nd 3.02-3.38, 1 Y 3.12
5 Sc 0.0000 0.0000 0.5000 x3  6 Nd 3.32, 6 Y 3.69

=====

6.
This record from the Alexandria database describes an optimized crystal structure of Nd8Y4Sc. The functional is GGA-PBE.

Results
- DFT total energy: -4.92 eV per atom
- E_form: 0.49 eV per atom

Cell lengths 11.2068, 11.2068, 13.4596 Å; angles 90.00, 90.00, 120.00 degrees
Closest atoms and distances in Å follow each position.
Space group R-3m (No. 166, hexagonal axes)
One atom of each set of equivalent atoms:
1 Nd 0.0000 0.0000 0.2428 x6  4 Y 3.27-3.46, 1 Sc 3.46
2 Nd 0.0050 0.5025 0.7446 x18  4 Y 3.35-3.44, 1 Sc 3.49
3 Y 0.0000 0.0000 0.0000 x3  8 Nd 3.27-3.35
4 Y 0.0000 0.5000 0.0000 x9  8 Nd 3.42-3.46
5 Sc 0.0000 0.0000 0.5000 x3  8 Nd 3.46-3.49

=====

7.
This record from the Alexandria database describes an optimized crystal structure of Nd4Y5Sc. The functional is GGA-PBE.

Results
- DFT total energy: -5.55 eV per atom
- E_form: 0.22 eV per atom

Cell lengths 10.7233, 10.7233, 5.8906 Å; angles 90.00, 90.00, 90.00 degrees
Closest atoms and distances in Å follow each position.
Space group I4mm (No. 107)
One atom of each set of equivalent atoms:
1 Nd 0.0000 0.3235 0.0000 x8  5 Y 3.37-3.75, 1 Sc 3.75
2 Y 0.0000 0.0000 0.2305 x2  2 Sc 2.78-3.11
3 Y 0.1864 0.1864 0.5218 x8  1 Sc 3.15, 3 Y 3.31-3.52, 2 Nd 3.37
4 Sc 0.0000 0.0000 0.7585 x2  2 Y 2.78-3.11

=====

8.
This record from the Alexandria database describes an optimized crystal structure of Nd8Y2Sc. The functional is GGA-PBE.

Results
- DFT total energy: -5.05 eV per atom
- E_form: 0.16 eV per atom

Cell lengths 16.7061, 6.8392, 6.6877 Å; angles 90.00, 101.62, 90.00 degrees
Closest atoms and distances in Å follow each position.
Space group C2/m (No. 12)
One atom of each set of equivalent atoms:
1 Nd 0.0808 0.2426 0.3873 x8  1 Sc 3.20, 5 Nd 3.32-3.52, 1 Y 3.52
2 Nd 0.0971 0.0000 0.9180 x4  6 Nd 3.39-3.65, 1 Y 3.71
3 Nd 0.2478 0.5000 0.3393 x4  5 Nd 3.37-3.49, 2 Y 3.43-3.56
4 Y 0.1853 0.5000 0.8179 x4  9 Nd 3.43-3.83, 1 Sc 3.55
5 Sc 0.0000 0.5000 0.0000 x2  4 Nd 3.20, 2 Y 3.55

=====

9.
This record from the Alexandria database describes an optimized crystal structure of Nd12Y5Sc2. The functional is GGA-PBE.

Results
- DFT total energy: -5.23 eV per atom
- E_form: 0.15 eV per atom

Cell lengths 19.3757, 7.4632, 9.9935 Å; angles 90.00, 117.71, 90.00 degrees
Closest atoms and distances in Å follow each position.
Space group C2/m (No. 12)
One atom of each set of equivalent atoms:
1 Nd 0.0012 0.0000 0.2010 x4  1 Y 3.00, 2 Sc 3.03
2 Nd 0.0073 0.5000 0.3210 x4  5 Nd 3.35-3.72, 2 Sc 3.47
3 Nd 0.1611 0.2472 0.8457 x8  6 Nd 3.39-3.77, 2 Y 3.65-3.80
4 Nd 0.1649 0.2387 0.4963 x8  5 Nd 3.27-3.64
5 Y 0.0000 0.0000 0.5000 x2  2 Nd 3.00
6 Y 0.1727 0.0000 0.1701 x4  10 Nd 3.48-3.88, 2 Y 3.73, 2 Sc 3.74
7 Y 0.1745 0.5000 0.1867 x4  2 Sc 3.34, 4 Nd 3.70-3.73, 2 Y 3.73
8 Sc 0.0000 0.3051 0.0000 x4  1 Sc 2.91, 2 Nd 3.03

=====

10.
This record from the Alexandria database describes an optimized crystal structure of Nd7Y12Sc. The functional is GGA-PBE.

Results
- DFT total energy: -5.20 eV per atom
- E_form: 0.66 eV per atom

Cell lengths 11.3337, 11.3337, 11.3337 Å; angles 90.00, 90.00, 90.00 degrees
Closest atoms and distances in Å follow each position.
Space group Im-3m (No. 229)
One atom of each set of equivalent atoms:
1 Nd 0.0000 0.0000 0.5000 x6  12 Y 4.01-4.10
2 Nd 0.2500 0.2500 0.2500 x8  6 Y 2.84
3 Y 0.0000 0.2439 0.2439 x24  2 Nd 2.84
4 Sc 0.0000 0.0000 0.0000 x2  12 Y 3.91

=====

11.
This record from the Alexandria database describes an optimized crystal structure of Nd12YSc6. The functional is GGA-PBE.

Results
- DFT total energy: -5.12 eV per atom
- E_form: 0.23 eV per atom

Cell lengths 10.6895, 10.6895, 10.6895 Å; angles 90.00, 90.00, 90.00 degrees
Closest atoms and distances in Å follow each position.
Space group Im-3 (No. 204)
One atom of each set of equivalent atoms:
1 Nd 0.0000 0.2692 0.1987 x24  1 Sc 3.02
2 Y 0.0000 0.0000 0.0000 x2  12 Nd 3.58
3 Sc 0.0000 0.1377 0.5000 x12  1 Sc 2.94, 2 Nd 3.02

=====

12.
This record from the Alexandria database describes an optimized crystal structure of NdY8Sc2. The functional is GGA-PBE.

Results
- DFT total energy: -6.11 eV per atom
- E_form: 0.18 eV per atom

Cell lengths 8.8785, 15.8007, 5.7739 Å; angles 90.00, 120.77, 90.00 degrees
Closest atoms and distances in Å follow each position.
Space group C2/m (No. 12)
One atom of each set of equivalent atoms:
1 Nd 0.0000 0.0000 0.0000 x2  4 Y 3.29-3.32
2 Y 0.0000 0.2104 0.0000 x4  2 Sc 3.27, 1 Nd 3.32, 6 Y 3.52-3.66
3 Y 0.0789 0.5000 0.7916 x4  1 Y 2.91
4 Y 0.2162 0.1187 0.6631 x8  6 Y 3.30-3.66, 2 Sc 3.32-3.41
5 Sc 0.0000 0.3073 0.5000 x4  8 Y 3.27-3.41